VASP calculation (PBE with a Hubbard U) on an optimized crystal structure of LaW3F.

## Properties
Final energy ... -15.836 eV/cell
Crystal system ... cubic
Theoretical density ... 5.477 Mg/m³
Density of states at the Fermi level ... 1.1065 states/eV per atom

Unit cell a=5.9914 b=5.9914 c=5.9914 alpha=90.00 beta=90.00 gamma=90.00
Space group Pm-3m (No. 221)
One atom of each set of equivalent atoms:
1 La 0.0000 0.0000 0.0000
2 W 0.0000 0.0000 0.5000
3 F 0.5000 0.5000 0.5000